VASP calculation (PBE) on a geometry-optimized NbAu2Br2 structure.

Calculated values
Polymorph energy (0 for the lowest one) = 300.4 meV/atom
ΔE_f (raw) = 2.643 eV per formula unit

Cell lengths 6.8449, 6.8449, 5.9660 Å; angles 90.00, 90.00, 90.00 degrees
Space group P4/mbm (No. 127)
Symmetry-distinct sites (fractional):
1 Nb 0.0000 0.0000 0.0000
2 Au 0.1377 0.3623 0.5000
3 Br 0.1696 0.6696 0.0000


VASP calculation (PBE) on a geometry-optimized CsScSe2 structure.

Calculated values
ΔE_f (raw) = -5.955 eV per formula unit

Cell lengths 7.9118, 10.0509, 8.0432 Å; angles 90.00, 90.00, 90.00 degrees
Space group Pna2_1 (No. 33)
Symmetry-distinct sites (fractional):
1 Cs 0.1425 0.1554 0.0000
2 Sc 0.0845 0.6369 0.0004
3 Se 0.0000 0.4990 0.2495
4 Se 0.0896 0.1482 0.5013


VASP calculation (PBE) on a geometry-optimized PdSeO structure.

Calculated values
Polymorph energy (0 for the lowest one) = 0.0 meV/atom
ΔE_f (raw) = -0.982 eV per formula unit

Cell lengths 4.3040, 4.3074, 6.7589 Å; angles 100.90, 90.40, 90.02 degrees
Space group P1 (No. 1)
Symmetry-distinct sites (fractional):
1 Pd 0.0000 0.0000 0.0000
2 Pd 0.4983 0.2610 0.8457
3 Se 0.3548 0.6443 0.1337
4 Se 0.8504 0.6166 0.7120
5 O 0.0983 0.3904 0.2298
6 O 0.5924 0.8709 0.6159


VASP calculation (PBE) on a geometry-optimized PmMgP2Pd5 structure.

Calculated values
Formation enthalpy at 0 K = -0.705 eV per atom

Cell lengths 4.2342, 4.2342, 8.5779 Å; angles 90.00, 90.00, 90.00 degrees
Space group P4/mmm (No. 123)
Symmetry-distinct sites (fractional):
1 Pm 0.0000 0.0000 0.0000
2 Mg 0.0000 0.0000 0.5000
3 P 0.5000 0.5000 0.3739
4 Pd 0.0000 0.5000 0.2491
5 Pd 0.5000 0.5000 0.0000


VASP calculation (PBE) on a geometry-optimized NdPa2Te4 structure.

Calculated values
ΔE_f (raw) = -6.240 eV per formula unit

Cell lengths 4.2141, 13.8428, 15.6268 Å; angles 90.00, 90.00, 90.00 degrees
Space group Cmcm (No. 63)
Symmetry-distinct sites (fractional):
1 Nd 0.0000 0.1008 0.2500
2 Pa 0.0000 0.3510 0.0600
3 Te 0.0000 0.0000 0.0000
4 Te 0.0000 0.2907 0.6310
5 Te 0.0000 0.4287 0.2500


VASP calculation (PBE) on a geometry-optimized Ac2TbInSe5 structure.

Calculated values
ΔE_f (raw) = -14.186 eV per formula unit

Cell lengths 4.2578, 18.4791, 13.1304 Å; angles 90.00, 90.00, 90.00 degrees
Space group Cmc2_1 (No. 36)
Symmetry-distinct sites (fractional):
1 Ac 0.0000 0.1218 0.0000
2 Ac 0.0000 0.1284 0.3817
3 Tb 0.0000 0.1941 0.6965
4 In 0.0000 0.4334 0.1739
5 Se 0.0000 0.0288 0.7893
6 Se 0.0000 0.2909 0.0293
7 Se 0.0000 0.2996 0.3517
8 Se 0.0000 0.3506 0.6963
9 Se 0.0000 0.4926 0.9860


VASP calculation (PBE) on a geometry-optimized BaMnIn2W structure.

Calculated values
Formation enthalpy at 0 K = 2.850 eV per atom

Cell lengths 5.7624, 5.7624, 4.6686 Å; angles 90.00, 90.00, 90.00 degrees
Space group P4/mmm (No. 123)
Symmetry-distinct sites (fractional):
1 Ba 0.0000 0.0000 0.0000
2 Mn 0.0000 0.0000 0.5000
3 In 0.0000 0.5000 0.0000
4 W 0.5000 0.5000 0.5000


VASP calculation (PBE) on a geometry-optimized SrMg2 structure.

Calculated values
Formation enthalpy at 0 K = -0.024 eV per atom

Cell lengths 8.3412, 8.3412, 4.9152 Å; angles 90.00, 90.00, 120.00 degrees
Space group P-62m (No. 189)
Symmetry-distinct sites (fractional):
1 Sr 0.0000 0.4191 0.0000
2 Mg 0.0000 0.0000 0.0000
3 Mg 0.0000 0.7650 0.5000
4 Mg 0.3333 0.6667 0.5000


Number 1: ρ 7.68 g cm⁻³. Number 2: ρ 3.49 g cm⁻³. Number 3: ρ 5.44 g cm⁻³. Number 4: ρ 8.24 g cm⁻³. Number 5: ρ 8.14 g cm⁻³. Number 6: ρ 7.22 g cm⁻³. Number 7: ρ 6.49 g cm⁻³. Number 8: ρ 2.29 g cm⁻³.